# LaZr2Pb

An optimized crystal structure of LaZr2Pb (GGA-PBE, Alexandria via LeMat-Bulk).

Values from the calculation:
- total DFT energy (no corrections) (eV per atom) = -6.3271
- total magnetization (μB per atom) = 0.000
- calculated formation energy (eV per atom) = 0.11

Cell: 4.3486 4.8202 10.0132 Å, 90.00 90.00 90.00°
Space group Cmmm (No. 65)
Unique sites:
La: 0.0000 0.0000 0.0000 (multiplicity 2)
Zr: 0.0000 0.5000 0.2673 (multiplicity 4)
Pb: 0.0000 0.0000 0.5000 (multiplicity 2)